No. 1
This record from Alexandria via LeMat-Bulk describes a relaxed structure of La15PrIn4. The functional is PBE.

## Properties
Energy of formation (kcal/mol of atoms): -5.33
Total magnetization (μB per atom): 0.0000

The structure in CIF format:
```
data_La15PrIn4
_cell_length_a 5.085
_cell_length_b 5.085
_cell_length_c 25.760
_cell_angle_alpha 90.00
_cell_angle_beta 90.00
_cell_angle_gamma 90.00
_symmetry_space_group_name_H-M 'P 4/m m m'
_symmetry_Int_Tables_number 123
_symmetry_space_group_name_Hall '-P 4 2'
loop_
_atom_site_label
_atom_site_type_symbol
_atom_site_fract_x
_atom_site_fract_y
_atom_site_fract_z
_atom_site_occupancy
La1 La 0.000 0.000 0.000 1
La2 La 0.000 0.000 0.205 1
La3 La 0.000 0.000 0.401 1
La4 La 0.000 0.500 0.105 1
La5 La 0.000 0.500 0.303 1
La6 La 0.000 0.500 0.500 1
Pr1 Pr 0.500 0.500 0.000 1
In1 In 0.500 0.500 0.204 1
In2 In 0.500 0.500 0.401 1
```

No. 2
This record from Alexandria via LeMat-Bulk describes a relaxed structure of Ta2NbCuH. The functional is PBE.

## Properties
Total magnetization (μB per atom): 0.0000

The structure in CIF format:
```
data_Ta2NbCuH
_cell_length_a 4.396
_cell_length_b 4.396
_cell_length_c 3.563
_cell_angle_alpha 90.00
_cell_angle_beta 90.00
_cell_angle_gamma 90.00
_symmetry_space_group_name_H-M 'P 4/m m m'
_symmetry_Int_Tables_number 123
_symmetry_space_group_name_Hall '-P 4 2'
loop_
_atom_site_label
_atom_site_type_symbol
_atom_site_fract_x
_atom_site_fract_y
_atom_site_fract_z
_atom_site_occupancy
Ta1 Ta 0.000 0.500 0.000 1
Nb1 Nb 0.000 0.000 0.500 1
Cu1 Cu 0.500 0.500 0.500 1
H1 H 0.500 0.500 0.000 1
```

No. 3
This record from Alexandria via LeMat-Bulk describes a relaxed structure of TlCdPb4. The functional is PBE.

## Properties
Energy of formation (kcal/mol of atoms): 2.65
Total magnetization (μB per atom): 0.0000

The structure in CIF format:
```
data_TlCdPb4
_cell_length_a 8.930
_cell_length_b 5.142
_cell_length_c 9.256
_cell_angle_alpha 90.00
_cell_angle_beta 108.63
_cell_angle_gamma 90.00
_symmetry_space_group_name_H-M 'C 1 2/m 1'
_symmetry_Int_Tables_number 12
loop_
_symmetry_equiv_pos_as_xyz
'x,y,z'
'-x,-y,-z'
'-x,y,-z'
'x,-y,z'
'x+1/2,y+1/2,z'
'-x+1/2,-y+1/2,-z'
'-x+1/2,y+1/2,-z'
'x+1/2,-y+1/2,z'
loop_
_atom_site_label
_atom_site_type_symbol
_atom_site_fract_x
_atom_site_fract_y
_atom_site_fract_z
_atom_site_occupancy
Tl1 Tl 0.000 0.000 0.000 1
Cd1 Cd 0.000 0.500 0.500 1
Pb1 Pb 0.121 0.500 0.861 1
Pb2 Pb 0.126 0.000 0.378 1
```

No. 4
This record from Alexandria via LeMat-Bulk describes a relaxed structure of DyEr3Sc2Te6. The functional is PBE.

## Properties
Energy relative to the elements, uncorrected (eV per atom): -1.183
Total magnetization (μB per atom): 0.0000

The structure in CIF format:
```
data_DyEr3Sc2Te6
_cell_length_a 18.639
_cell_length_b 4.267
_cell_length_c 8.576
_cell_angle_alpha 90.00
_cell_angle_beta 103.22
_cell_angle_gamma 90.00
_symmetry_space_group_name_H-M 'C 1 2/m 1'
_symmetry_Int_Tables_number 12
loop_
_symmetry_equiv_pos_as_xyz
'x,y,z'
'-x,-y,-z'
'-x,y,-z'
'x,-y,z'
'x+1/2,y+1/2,z'
'-x+1/2,-y+1/2,-z'
'-x+1/2,y+1/2,-z'
'x+1/2,-y+1/2,z'
loop_
_atom_site_label
_atom_site_type_symbol
_atom_site_fract_x
_atom_site_fract_y
_atom_site_fract_z
_atom_site_occupancy
Dy1 Dy 0.000 0.000 0.000 1
Er1 Er 0.000 0.000 0.500 1
Er2 Er 0.161 0.500 0.830 1
Sc1 Sc 0.165 0.500 0.331 1
Te1 Te 0.005 0.500 0.254 1
Te2 Te 0.170 0.000 0.091 1
Te3 Te 0.170 0.000 0.577 1
```

No. 5
This record from Alexandria via LeMat-Bulk describes a relaxed structure of Cu2Mo2S. The functional is PBE.

## Properties
Energy relative to the elements, uncorrected (eV per atom): 0.707
Total magnetization (μB per atom): 0.0000

The structure in CIF format:
```
data_Cu2Mo2S
_cell_length_a 3.531
_cell_length_b 3.531
_cell_length_c 13.057
_cell_angle_alpha 90.00
_cell_angle_beta 90.00
_cell_angle_gamma 90.00
_symmetry_space_group_name_H-M 'I 4/m m m'
_symmetry_Int_Tables_number 139
_symmetry_space_group_name_Hall '-I 4 2'
loop_
_atom_site_label
_atom_site_type_symbol
_atom_site_fract_x
_atom_site_fract_y
_atom_site_fract_z
_atom_site_occupancy
Cu1 Cu 0.000 0.000 0.092 1
Mo1 Mo 0.000 0.500 0.250 1
S1 S 0.000 0.000 0.500 1
```

No. 6
This record from Alexandria via LeMat-Bulk describes a relaxed structure of Y2ThCd. The functional is PBE.

## Properties
Energy of formation (kcal/mol of atoms): -4.02
Total magnetization (μB per atom): 0.0000

The structure in CIF format:
```
data_Y2ThCd
_cell_length_a 3.625
_cell_length_b 3.625
_cell_length_c 8.874
_cell_angle_alpha 90.00
_cell_angle_beta 90.00
_cell_angle_gamma 90.00
_symmetry_space_group_name_H-M 'P 4/m m m'
_symmetry_Int_Tables_number 123
_symmetry_space_group_name_Hall '-P 4 2'
loop_
_atom_site_label
_atom_site_type_symbol
_atom_site_fract_x
_atom_site_fract_y
_atom_site_fract_z
_atom_site_occupancy
Y1 Y 0.000 0.000 0.229 1
Th1 Th 0.500 0.500 0.500 1
Cd1 Cd 0.500 0.500 0.000 1
```

No. 7
This record from Alexandria via LeMat-Bulk describes a relaxed structure of GdTmZn. The functional is PBE.

## Properties
Energy of formation (kcal/mol of atoms): -5.03
Total magnetization (μB per atom): 2.6455

The structure in CIF format:
```
data_GdTmZn
_cell_length_a 3.557
_cell_length_b 3.557
_cell_length_c 12.216
_cell_angle_alpha 90.00
_cell_angle_beta 90.00
_cell_angle_gamma 90.00
_symmetry_space_group_name_H-M 'I 4 m m'
_symmetry_Int_Tables_number 107
_symmetry_space_group_name_Hall 'I 4 -2'
loop_
_atom_site_label
_atom_site_type_symbol
_atom_site_fract_x
_atom_site_fract_y
_atom_site_fract_z
_atom_site_occupancy
Gd1 Gd 0.000 0.000 0.000 1
Tm1 Tm 0.000 0.000 0.292 1
Zn1 Zn 0.000 0.000 0.654 1
```

No. 8
This record from Alexandria via LeMat-Bulk describes a relaxed structure of ZrAlPt2. The functional is PBE.

## Properties
Energy of formation (kcal/mol of atoms): -23.94
Total magnetization (μB per atom): 0.0000

The structure in CIF format:
```
data_ZrAlPt2
_cell_length_a 2.869
_cell_length_b 3.263
_cell_length_c 7.068
_cell_angle_alpha 90.00
_cell_angle_beta 90.00
_cell_angle_gamma 90.00
_symmetry_space_group_name_H-M 'P m m m'
_symmetry_Int_Tables_number 47
loop_
_symmetry_equiv_pos_as_xyz
'x,y,z'
'-x,-y,-z'
'-x,-y,z'
'x,y,-z'
'x,-y,-z'
'-x,y,z'
'-x,y,-z'
'x,-y,z'
loop_
_atom_site_label
_atom_site_type_symbol
_atom_site_fract_x
_atom_site_fract_y
_atom_site_fract_z
_atom_site_occupancy
Zr1 Zr 0.000 0.000 0.000 1
Al1 Al 0.000 0.000 0.500 1
Pt1 Pt 0.500 0.500 0.284 1
```

No. 9
This record from Alexandria via LeMat-Bulk describes a relaxed structure of ZnOsSe2. The functional is PBE.

## Properties
Energy relative to the elements, uncorrected (eV per atom): 0.404
Total magnetization (μB per atom): 0.0000

The structure in CIF format:
```
data_ZnOsSe2
_cell_length_a 2.902
_cell_length_b 5.227
_cell_length_c 10.071
_cell_angle_alpha 90.00
_cell_angle_beta 90.00
_cell_angle_gamma 90.00
_symmetry_space_group_name_H-M 'C m m 2'
_symmetry_Int_Tables_number 35
loop_
_symmetry_equiv_pos_as_xyz
'x,y,z'
'-x,-y,z'
'-x,y,z'
'x,-y,z'
'x+1/2,y+1/2,z'
'-x+1/2,-y+1/2,z'
'-x+1/2,y+1/2,z'
'x+1/2,-y+1/2,z'
loop_
_atom_site_label
_atom_site_type_symbol
_atom_site_fract_x
_atom_site_fract_y
_atom_site_fract_z
_atom_site_occupancy
Zn1 Zn 0.000 0.000 0.000 1
Os1 Os 0.000 0.500 0.215 1
Se1 Se 0.000 0.000 0.411 1
Se2 Se 0.000 0.500 0.774 1
```

No. 10
This record from Alexandria via LeMat-Bulk describes a relaxed structure of PuH2Pt. The functional is PBE.

## Properties
Total magnetization (μB per atom): 1.5186

The structure in CIF format:
```
data_PuH2Pt
_cell_length_a 3.2427
_cell_length_b 3.2427
_cell_length_c 16.5186
_cell_angle_alpha 90.00
_cell_angle_beta 90.00
_cell_angle_gamma 120.00
_symmetry_space_group_name_H-M 'R -3 m'
_symmetry_Int_Tables_number 166
_symmetry_space_group_name_Hall '-R 3 2"'
loop_
_atom_site_label
_atom_site_type_symbol
_atom_site_fract_x
_atom_site_fract_y
_atom_site_fract_z
_atom_site_occupancy
Pu1 Pu 0.0000 0.0000 0.0000 1
H1 H 0.0000 0.0000 0.1395 1
Pt1 Pt 0.0000 0.0000 0.5000 1
```

No. 11
This record from Alexandria via LeMat-Bulk describes a relaxed structure of CsCu2I2Br. The functional is PBE.

## Properties
Energy relative to the elements, uncorrected (eV per atom): -0.662
Total magnetization (μB per atom): 0.0000

The structure in CIF format:
```
data_CsCu2I2Br
_cell_length_a 8.318
_cell_length_b 6.191
_cell_length_c 8.612
_cell_angle_alpha 90.00
_cell_angle_beta 105.69
_cell_angle_gamma 90.00
_symmetry_space_group_name_H-M 'P 1 21/m 1'
_symmetry_Int_Tables_number 11
loop_
_symmetry_equiv_pos_as_xyz
'x,y,z'
'-x,-y,-z'
'-x,y+1/2,-z'
'x,-y+1/2,z'
loop_
_atom_site_label
_atom_site_type_symbol
_atom_site_fract_x
_atom_site_fract_y
_atom_site_fract_z
_atom_site_occupancy
Cs1 Cs 0.167 0.250 0.324 1
Cu1 Cu 0.357 0.539 0.873 1
I1 I 0.121 0.250 0.857 1
I2 I 0.336 0.750 0.605 1
Br1 Br 0.403 0.750 0.128 1
```

No. 12
This record from Alexandria via LeMat-Bulk describes a relaxed structure of SbAs2W. The functional is PBE.

## Properties
Energy relative to the elements, uncorrected (eV per atom): 0.495
Total magnetization (μB per atom): 0.0000

The structure in CIF format:
```
data_SbAs2W
_cell_length_a 3.263
_cell_length_b 4.673
_cell_length_c 11.511
_cell_angle_alpha 90.00
_cell_angle_beta 90.00
_cell_angle_gamma 90.00
_symmetry_space_group_name_H-M 'I m m m'
_symmetry_Int_Tables_number 71
_symmetry_space_group_name_Hall '-I 2 2'
loop_
_atom_site_label
_atom_site_type_symbol
_atom_site_fract_x
_atom_site_fract_y
_atom_site_fract_z
_atom_site_occupancy
Sb1 Sb 0.000 0.000 0.000 1
As1 As 0.000 0.500 0.179 1
W1 W 0.000 0.000 0.500 1
```

No. 13
This record from Alexandria via LeMat-Bulk describes a relaxed structure of Na3GaFe. The functional is PBE.

## Properties
Energy of formation (kcal/mol of atoms): 20.78
Total magnetization (μB per atom): 0.5825

The structure in CIF format:
```
data_Na3GaFe
_cell_length_a 5.463
_cell_length_b 5.463
_cell_length_c 5.463
_cell_angle_alpha 90.00
_cell_angle_beta 90.00
_cell_angle_gamma 90.00
_symmetry_space_group_name_H-M 'P m -3 m'
_symmetry_Int_Tables_number 221
_symmetry_space_group_name_Hall '-P 4 2 3'
loop_
_atom_site_label
_atom_site_type_symbol
_atom_site_fract_x
_atom_site_fract_y
_atom_site_fract_z
_atom_site_occupancy
Na1 Na 0.000 0.000 0.500 1
Ga1 Ga 0.500 0.500 0.500 1
Fe1 Fe 0.000 0.000 0.000 1
```

No. 14
This record from Alexandria via LeMat-Bulk describes a relaxed structure of ErHfCr2S6. The functional is PBE.

## Properties
Energy relative to the elements, uncorrected (eV per atom): -1.199
Total magnetization (μB per atom): 0.7004

The structure in CIF format:
```
data_ErHfCr2S6
_cell_length_a 6.3572
_cell_length_b 6.3572
_cell_length_c 17.3961
_cell_angle_alpha 90.00
_cell_angle_beta 90.00
_cell_angle_gamma 120.00
_symmetry_space_group_name_H-M 'R 3'
_symmetry_Int_Tables_number 146
_symmetry_space_group_name_Hall 'R 3'
loop_
_atom_site_label
_atom_site_type_symbol
_atom_site_fract_x
_atom_site_fract_y
_atom_site_fract_z
_atom_site_occupancy
Er1 Er 0.0000 0.0000 0.0000 1
Hf1 Hf 0.0000 0.0000 0.5061 1
Cr1 Cr 0.0000 0.0000 0.1912 1
Cr2 Cr 0.0000 0.0000 0.6948 1
S1 S 0.0242 0.3425 0.7717 1
S2 S 0.0517 0.7085 0.2684 1
```

No. 15
This record from Alexandria via LeMat-Bulk describes a relaxed structure of Ce2UNi. The functional is PBE.

## Properties
Energy of formation (kcal/mol of atoms): 8.15
Total magnetization (μB per atom): 0.1032

The structure in CIF format:
```
data_Ce2UNi
_cell_length_a 2.9413
_cell_length_b 2.9413
_cell_length_c 32.9192
_cell_angle_alpha 90.00
_cell_angle_beta 90.00
_cell_angle_gamma 120.00
_symmetry_space_group_name_H-M 'R -3 m'
_symmetry_Int_Tables_number 166
_symmetry_space_group_name_Hall '-R 3 2"'
loop_
_atom_site_label
_atom_site_type_symbol
_atom_site_fract_x
_atom_site_fract_y
_atom_site_fract_z
_atom_site_occupancy
Ce1 Ce 0.0000 0.0000 0.0763 1
U1 U 0.0000 0.0000 0.5000 1
Ni1 Ni 0.0000 0.0000 0.0000 1
```

No. 16
This record from Alexandria via LeMat-Bulk describes a relaxed structure of SmThSi2Pt5. The functional is PBE.

## Properties
Energy relative to the elements, uncorrected (eV per atom): -1.060
Total magnetization (μB per atom): 0.0000

The structure in CIF format:
```
data_SmThSi2Pt5
_cell_length_a 4.305
_cell_length_b 4.305
_cell_length_c 8.870
_cell_angle_alpha 90.00
_cell_angle_beta 90.00
_cell_angle_gamma 90.00
_symmetry_space_group_name_H-M 'P 4/m m m'
_symmetry_Int_Tables_number 123
_symmetry_space_group_name_Hall '-P 4 2'
loop_
_atom_site_label
_atom_site_type_symbol
_atom_site_fract_x
_atom_site_fract_y
_atom_site_fract_z
_atom_site_occupancy
Sm1 Sm 0.000 0.000 0.000 1
Th1 Th 0.000 0.000 0.500 1
Si1 Si 0.500 0.500 0.365 1
Pt1 Pt 0.000 0.500 0.236 1
Pt2 Pt 0.500 0.500 0.000 1
```

no.,energy (eV per atom)
1,-4.713
2,-8.207
3,-2.904
4,-5.333
5,-6.089
6,-5.490
7,-6.827
8,-7.131
9,-4.464
10,-6.687
11,-2.965
12,-6.098
13,-2.188
14,-7.052
15,-6.881
16,-6.970